(1)
NaCrAu3, relaxed, DFT PBE; uncorrected energy = -3.2031 eV per atom; E_form = 459 kJ/mol of formula units; N(E_F) = 0.422 states/eV per atom; space group = Pm-3m (221); theoretical density = 9382 kg/m³
1.0
4.903 0.000 0.000
0.000 4.903 0.000
0.000 0.000 4.903
Na Cr Au
1 1 3
Direct
0.000 0.000 0.000 Na
0.500 0.500 0.500 Cr
0.000 0.000 0.500 Au
0.000 0.500 0.000 Au
0.500 0.000 0.000 Au

***

(2)
EuTlAs, relaxed, DFT PBE; uncorrected energy = -6.4086 eV per atom; E_form = -187 kJ/mol of formula units; space group = P3m1 (156); theoretical density = 7934 kg/m³
1.0
4.453 0.000 0.000
-2.227 3.857 0.000
0.000 0.000 5.255
Eu Tl As
1 1 1
Direct
0.000 0.000 0.000 Eu
0.667 0.333 0.564 Tl
0.333 0.667 0.289 As

***

(3)
Ta3IF, relaxed, DFT PBE; uncorrected energy = -7.0420 eV per atom; N(E_F) = 1.044 states/eV per atom; space group = Pm-3m (221); formation energy (no corrections) = 0.754 eV per atom; theoretical density = 12747 kg/m³
1.0
4.477 0.000 0.000
0.000 4.477 0.000
0.000 0.000 4.477
Ta I F
3 1 1
Direct
0.000 0.000 0.500 Ta
0.000 0.500 0.000 Ta
0.500 0.000 0.000 Ta
0.500 0.500 0.500 I
0.000 0.000 0.000 F

***

(4)
Sm4InHgN, relaxed, DFT PBE; uncorrected energy = -4.9895 eV per atom; N(E_F) = 0.306 states/eV per atom; space group = Cmcm (63); formation energy (no corrections) = -0.669 eV per atom; theoretical density = 8186 kg/m³
1.0
3.515 -7.637 0.000
3.515 7.637 0.000
0.000 0.000 7.033
Sm In Hg N
8 2 2 2
Direct
0.000 0.500 0.000 Sm
0.000 0.500 0.500 Sm
0.080 0.920 0.750 Sm
0.413 0.587 0.750 Sm
0.500 0.000 0.000 Sm
0.500 0.000 0.500 Sm
0.587 0.413 0.250 Sm
0.920 0.080 0.250 Sm
0.382 0.618 0.250 In
0.618 0.382 0.750 In
0.119 0.881 0.250 Hg
0.881 0.119 0.750 Hg
0.251 0.749 0.750 N
0.749 0.251 0.250 N

***

(5)
Co2GeAsPb, relaxed, DFT PBE; uncorrected energy = -4.8110 eV per atom; E_form = 302 kJ/mol of formula units; N(E_F) = 1.542 states/eV per atom; space group = P4/mmm (123); theoretical density = 7680 kg/m³
1.0
4.449 0.000 0.000
0.000 4.449 0.000
0.000 0.000 5.164
Co Ge As Pb
2 1 1 1
Direct
0.000 0.500 0.000 Co
0.500 0.000 0.000 Co
0.000 0.000 0.500 Ge
0.000 0.000 0.000 As
0.500 0.500 0.500 Pb

***

(6)
PaAlCr4, relaxed, DFT PBE; uncorrected energy = -8.4381 eV per atom; E_form = 106 kJ/mol of formula units; N(E_F) = 1.098 states/eV per atom; space group = F-43m (216); theoretical density = 8666 kg/m³
1.0
0.000 3.548 3.548
3.548 0.000 3.548
3.548 3.548 0.000
Pa Al Cr
1 1 4
Direct
0.000 0.000 0.000 Pa
0.750 0.750 0.750 Al
0.375 0.375 0.375 Cr
0.375 0.375 0.875 Cr
0.375 0.875 0.375 Cr
0.875 0.375 0.375 Cr

***

(7)
Y2TaIr2, relaxed, DFT PBE; uncorrected energy = -9.0978 eV per atom; E_form = -288 kJ/mol of formula units; N(E_F) = 0.983 states/eV per atom; space group = P4/mbm (127); theoretical density = 11557 kg/m³
1.0
6.802 0.000 0.000
0.000 6.802 0.000
0.000 0.000 4.615
Y Ta Ir
4 2 4
Direct
0.176 0.324 0.000 Y
0.324 0.824 0.000 Y
0.676 0.176 0.000 Y
0.824 0.676 0.000 Y
0.000 0.000 0.500 Ta
0.500 0.500 0.500 Ta
0.139 0.639 0.500 Ir
0.361 0.139 0.500 Ir
0.639 0.861 0.500 Ir
0.861 0.361 0.500 Ir

***

(8)
Al2SiTe, relaxed, DFT PBE; uncorrected energy = -3.9523 eV per atom; N(E_F) = 0.408 states/eV per atom; space group = Pm (6); formation energy (no corrections) = 0.060 eV per atom; theoretical density = 3699 kg/m³
1.0
3.564 0.000 0.000
0.000 3.933 0.000
-0.030 0.000 6.714
Al Si Te
2 1 1
Direct
0.000 0.000 0.000 Al
0.018 0.500 0.332 Al
0.522 0.500 0.069 Si
0.117 0.000 0.593 Te

***

(9)
PrSmHgTe2, relaxed, DFT PBE; uncorrected energy = -4.3376 eV per atom; N(E_F) = 0.639 states/eV per atom; space group = P4/nmm (129); formation energy (no corrections) = -1.121 eV per atom; theoretical density = 8124 kg/m³
1.0
4.441 0.000 0.000
0.000 4.441 0.000
0.000 0.000 15.484
Pr Sm Hg Te
2 2 2 4
Direct
0.250 0.250 0.169 Pr
0.750 0.750 0.831 Pr
0.250 0.250 0.588 Sm
0.750 0.750 0.412 Sm
0.250 0.750 0.000 Hg
0.750 0.250 0.000 Hg
0.250 0.250 0.384 Te
0.250 0.250 0.795 Te
0.750 0.750 0.205 Te
0.750 0.750 0.616 Te

***

(10)
CrSbAu2, relaxed, DFT PBE; uncorrected energy = -4.7989 eV per atom; N(E_F) = 0.482 states/eV per atom; space group = R3m (160); formation energy (no corrections) = 0.276 eV per atom; theoretical density = 11835 kg/m³
1.0
1.646 0.951 8.482
-1.646 0.951 8.482
0.000 -1.901 8.482
Cr Sb Au
1 1 2
Direct
0.000 0.000 0.000 Cr
0.748 0.748 0.748 Sb
0.258 0.258 0.258 Au
0.506 0.506 0.506 Au